Cd2WO5 | PBE with a Hubbard U | optimized geometry

Lattice parameters (Å, degrees): 6.369 6.369 7.538 109.15 109.15 50.33
Atoms (fractional coordinates):
1 Cd 0.141 0.165 0.286
2 Cd 0.165 0.141 0.786
3 Cd 0.835 0.859 0.214
4 Cd 0.859 0.835 0.714
5 W 0.500 0.500 0.000
6 W 0.500 0.500 0.500
7 O 0.119 0.710 0.020
8 O 0.176 0.506 0.376
9 O 0.290 0.881 0.480
10 O 0.369 0.631 0.750
11 O 0.494 0.824 0.124
12 O 0.506 0.176 0.876
13 O 0.631 0.369 0.250
14 O 0.710 0.119 0.520
15 O 0.824 0.494 0.624
16 O 0.881 0.290 0.980

Summary:
E_tot: -5.76 eV per atom